A plane-wave DFT calculation with PBE was carried out for an optimized crystal structure of Pm2YPu3S6.

Unit cell a=8.8923 b=8.8923 c=7.9665 alpha=103.10 beta=103.10 gamma=25.78
Closest atoms and distances in Å follow each position.
Atoms (fractional coordinates):
Pm (0.1667, 0.1667, 0.3337)  6 S 2.84-2.85
Pm (0.8333, 0.8333, 0.6663)  6 S 2.84-2.85
Y (0.5000, 0.5000, 0.0000)  6 S 2.79-2.80
Pu (0.1676, 0.1676, 0.8335)  6 S 2.78-2.81
Pu (0.5000, 0.5000, 0.5000)  6 S 2.78-2.82
Pu (0.8324, 0.8324, 0.1665)  6 S 2.78-2.81
S (0.0022, 0.0022, 0.7533)  3 Pu 2.79-2.82, 2 Y 2.80, 1 Pm 2.85
S (0.3345, 0.3345, 0.9224)  3 Pu 2.78-2.81, 1 Y 2.79, 2 Pm 2.84
S (0.3352, 0.3352, 0.4122)  3 Pu 2.78, 3 Pm 2.84
S (0.6648, 0.6648, 0.5878)  3 Pu 2.78, 3 Pm 2.84
S (0.6655, 0.6655, 0.0776)  3 Pu 2.78-2.81, 1 Y 2.79, 2 Pm 2.84
S (0.9978, 0.9978, 0.2467)  3 Pu 2.79-2.82, 2 Y 2.80, 1 Pm 2.85

Calculated values
VASP energy = -106.72 eV per cell
Calculated volume = 22.2 Å³ per atom
Formation energy without anion corrections = -1.916 eV per atom


A plane-wave DFT calculation with PBE was carried out for an optimized crystal structure of PaSn2Ru.

Unit cell a=3.1768 b=3.1768 c=31.4498 alpha=90.00 beta=90.00 gamma=120.00
Closest atoms and distances in Å follow each position.
Atoms (fractional coordinates):
Pa (0.0000, 0.0000, 0.0000)  6 Pa 3.18, 2 Sn 3.20
Pa (0.3333, 0.6667, 0.6667)  6 Pa 3.18, 2 Sn 3.20
Pa (0.6667, 0.3333, 0.3333)  6 Pa 3.18, 2 Sn 3.20
Sn (0.0000, 0.0000, 0.1016)  3 Ru 2.75
Sn (0.0000, 0.0000, 0.8984)  3 Ru 2.75
Sn (0.3333, 0.6667, 0.5651)  3 Ru 2.75
Sn (0.3333, 0.6667, 0.7683)  3 Ru 2.75
Sn (0.6667, 0.3333, 0.2317)  3 Ru 2.75
Sn (0.6667, 0.3333, 0.4349)  3 Ru 2.75
Ru (0.0000, 0.0000, 0.5000)  6 Sn 2.75
Ru (0.3333, 0.6667, 0.1667)  6 Sn 2.75
Ru (0.6667, 0.3333, 0.8333)  6 Sn 2.75

Calculated values
VASP energy = -78.23 eV per cell
Calculated formation energy = 0.701 eV/f.u.
Calculated volume = 22.9 Å³ per atom
ΔE to the lowest computed polymorph = 0.543 eV/atom


A plane-wave DFT calculation with PBE was carried out for an optimized crystal structure of TbCePmAl.

Unit cell a=7.6029 b=7.6029 c=7.6029 alpha=90.00 beta=90.00 gamma=90.00
Closest atoms and distances in Å follow each position.
Atoms (fractional coordinates):
Tb (0.0000, 0.0000, 0.0000)  4 Al 3.29, 4 Pm 3.29
Tb (0.0000, 0.5000, 0.5000)  4 Pm 3.29, 4 Al 3.29
Tb (0.5000, 0.0000, 0.5000)  4 Pm 3.29, 4 Al 3.29
Tb (0.5000, 0.5000, 0.0000)  4 Pm 3.29, 4 Al 3.29
Ce (0.0000, 0.0000, 0.5000)  4 Pm 3.29, 4 Al 3.29
Ce (0.0000, 0.5000, 0.0000)  4 Pm 3.29, 4 Al 3.29
Ce (0.5000, 0.0000, 0.0000)  4 Pm 3.29, 4 Al 3.29
Ce (0.5000, 0.5000, 0.5000)  4 Pm 3.29, 4 Al 3.29
Pm (0.2500, 0.2500, 0.7500)  4 Tb 3.29, 4 Ce 3.29
Pm (0.2500, 0.7500, 0.2500)  4 Tb 3.29, 4 Ce 3.29
Pm (0.7500, 0.2500, 0.2500)  4 Tb 3.29, 4 Ce 3.29
Pm (0.7500, 0.7500, 0.7500)  4 Tb 3.29, 4 Ce 3.29
Al (0.2500, 0.2500, 0.2500)  4 Tb 3.29, 4 Ce 3.29
Al (0.2500, 0.7500, 0.7500)  4 Tb 3.29, 4 Ce 3.29
Al (0.7500, 0.2500, 0.7500)  4 Tb 3.29, 4 Ce 3.29
Al (0.7500, 0.7500, 0.2500)  4 Tb 3.29, 4 Ce 3.29

Calculated values
VASP energy = -76.27 eV per cell
Calculated formation energy = -0.009 eV/f.u.
Calculated volume = 27.5 Å³ per atom


Number 1: total moment 16.94 μB per formula unit. Number 2: total moment 0.00 μB per formula unit. Number 3: total moment 0.01 μB per formula unit.